1.
The following is a DFT calculation (PBE) of crystalline SrCdTe2N at its relaxed geometry.

## Properties
As for the symmetry: No. 123. The density comes out at 5.249 g cm⁻³. Its volume is 148.5 Å³/cell. For the energy relative to the elements, uncorrected, the calculation gives 0.15 eV per atom. Its magnetic moment is 2.24 μB/f.u. For the calculated total energy, the calculation gives -0.1210 hartree per atom.

a = 5.866 Å, b = 5.866 Å, c = 4.314 Å
α = 90.00°, β = 90.00°, γ = 90.00°
Element x y z (fractional)
Sr1 0.000 0.000 0.000
Cd1 0.500 0.500 0.500
Te1 0.000 0.500 0.500
Te2 0.500 0.000 0.500
N1 0.500 0.500 0.000

2.
The following is a DFT calculation (PBE) of crystalline Nd6SiSn2 at its relaxed geometry.

## Properties
As for the symmetry: No. 189. The density comes out at 6.857 g cm⁻³. Its volume is 273.9 Å³/cell. For the energy relative to the elements, uncorrected, the calculation gives -0.56 eV per atom. Its magnetic moment is 2.18 μB/f.u. For the calculated total energy, the calculation gives -0.1922 hartree per atom.

a = 8.510 Å, b = 8.510 Å, c = 4.367 Å
α = 90.00°, β = 90.00°, γ = 120.00°
Element x y z (fractional)
Nd1 0.000 0.252 0.000
Nd2 0.000 0.597 0.500
Nd3 0.252 0.000 0.000
Nd4 0.403 0.403 0.500
Nd5 0.597 0.000 0.500
Nd6 0.748 0.748 0.000
Si1 0.000 0.000 0.500
Sn1 0.333 0.667 0.000
Sn2 0.667 0.333 0.000

3.
The following is a DFT calculation (PBE) of crystalline PuPaGaNi at its relaxed geometry.

## Properties
As for the symmetry: No. 216. The density comes out at 13.146 g cm⁻³. Its volume is 76.2 Å³/cell. Its magnetic moment is 7.92 μB/f.u. For the calculated total energy, the calculation gives -0.3045 hartree per atom.

a = 4.759 Å, b = 4.759 Å, c = 4.759 Å
α = 60.00°, β = 60.00°, γ = 60.00°
Element x y z (fractional)
Pu1 0.000 0.000 0.000
Pa1 0.750 0.750 0.750
Ga1 0.250 0.250 0.250
Ni1 0.500 0.500 0.500

4.
The following is a DFT calculation (PBE) of crystalline La6Co2OsCl3 at its relaxed geometry.

## Properties
As for the symmetry: No. 12. The density comes out at 6.291 g cm⁻³. Its volume is 329.4 Å³/cell. For the energy relative to the elements, uncorrected, the calculation gives -0.94 eV per atom. Its magnetic moment is 0.00 μB/f.u. For the calculated total energy, the calculation gives -0.2199 hartree per atom.

a = 9.836 Å, b = 9.836 Å, c = 8.996 Å
α = 110.65°, β = 110.65°, γ = 23.94°
Element x y z (fractional)
La1 0.011 0.011 0.228
La2 0.320 0.320 0.444
La3 0.343 0.343 0.890
La4 0.657 0.657 0.110
La5 0.680 0.680 0.556
La6 0.989 0.989 0.772
Co1 0.170 0.170 0.337
Co2 0.830 0.830 0.663
Os1 0.500 0.500 0.000
Cl1 0.166 0.166 0.832
Cl2 0.500 0.500 0.500
Cl3 0.834 0.834 0.168

5.
The following is a DFT calculation (PBE) of crystalline Pd3Au7 at its relaxed geometry.

## Properties
As for the symmetry: No. 12. The density comes out at 16.429 g cm⁻³. Its volume is 171.6 Å³/cell. Its magnetic moment is 0.00 μB/f.u. For the calculated total energy, the calculation gives -0.1444 hartree per atom.

a = 7.645 Å, b = 7.645 Å, c = 5.754 Å
α = 101.71°, β = 101.71°, γ = 31.47°
Element x y z (fractional)
Pd1 0.000 0.000 0.000
Pd2 0.200 0.200 0.603
Pd3 0.800 0.800 0.397
Au1 0.000 0.000 0.500
Au2 0.200 0.200 0.106
Au3 0.398 0.398 0.695
Au4 0.400 0.400 0.197
Au5 0.600 0.600 0.803
Au6 0.602 0.602 0.305
Au7 0.800 0.800 0.894

6.
The following is a DFT calculation (PBE) of crystalline Y4BeFe at its relaxed geometry.

## Properties
As for the symmetry: No. 216. The density comes out at 4.335 g cm⁻³. Its volume is 161.1 Å³/cell. Its magnetic moment is 2.59 μB/f.u. For the calculated total energy, the calculation gives -0.1958 hartree per atom.

a = 6.107 Å, b = 6.107 Å, c = 6.107 Å
α = 60.00°, β = 60.00°, γ = 60.00°
Element x y z (fractional)
Y1 0.125 0.125 0.125
Y2 0.125 0.125 0.625
Y3 0.125 0.625 0.125
Y4 0.625 0.125 0.125
Be1 0.750 0.750 0.750
Fe1 0.500 0.500 0.500

7.
The following is a DFT calculation (PBE) of crystalline Sc2GeP at its relaxed geometry.

## Properties
As for the symmetry: No. 225. The density comes out at 4.337 g cm⁻³. Its volume is 74.1 Å³/cell. Its magnetic moment is 0.00 μB/f.u. For the calculated total energy, the calculation gives -0.2328 hartree per atom.

a = 4.715 Å, b = 4.715 Å, c = 4.715 Å
α = 60.00°, β = 60.00°, γ = 60.00°
Element x y z (fractional)
Sc1 0.250 0.250 0.250
Sc2 0.750 0.750 0.750
Ge1 0.000 0.000 0.000
P1 0.500 0.500 0.500

8.
The following is a DFT calculation (PBE) of crystalline Na3Ga7Pt2 at its relaxed geometry.

## Properties
As for the symmetry: No. 65. The density comes out at 5.898 g cm⁻³. Its volume is 266.7 Å³/cell. Its magnetic moment is 0.00 μB/f.u. For the calculated total energy, the calculation gives -0.1224 hartree per atom.

a = 11.879 Å, b = 11.879 Å, c = 4.841 Å
α = 90.00°, β = 90.00°, γ = 157.03°
Element x y z (fractional)
Na1 0.000 0.000 0.000
Na2 0.192 0.808 0.000
Na3 0.808 0.192 0.000
Ga1 0.076 0.924 0.500
Ga2 0.281 0.719 0.500
Ga3 0.391 0.609 0.000
Ga4 0.500 0.500 0.500
Ga5 0.609 0.391 0.000
Ga6 0.719 0.281 0.500
Ga7 0.924 0.076 0.500
Pt1 0.389 0.611 0.500
Pt2 0.611 0.389 0.500

Among the records above, which one has the lowest volume? Sc2GeP

Look up the volume of the sixth one. 161.1 Å³/cell